Record 1
VASP calculation (PBE-GGA) on a geometry-optimized CaIn3Pd structure.

## Properties
* calculated volume: 38.0 Å³/atom
* symmetry: Pm-3m (221)
* crystal system: cubic
* energy of formation from the pure elements: 0.93 eV/atom
* N(E_F): 4.6 states/eV/f.u.

a b c (Å): 5.7477 5.7477 5.7477
angles (deg): 90.00 90.00 90.00
Last column: nearest neighbours and their distance in Å.
Atoms (fractional coordinates):
In (0.0000, 0.5000, 0.0000)  2 Ca 2.87
In (0.0000, 0.0000, 0.5000)  2 Ca 2.87
In (0.5000, 0.0000, 0.0000)  2 Ca 2.87
Ca (0.0000, 0.0000, 0.0000)  6 In 2.87
Pd (0.5000, 0.5000, 0.5000)  12 In 4.06

Record 2
VASP calculation (PBE-GGA) on a geometry-optimized Ca2In2Pd structure.

## Properties
* offset from the most stable computed form: 233 meV/atom
* calculated volume: 28.9 Å³/atom
* symmetry: I4/mmm (139)
* crystal system: tetragonal
* energy of formation from the pure elements: -0.20 eV/atom
* N(E_F): 2.6 states/eV/f.u.

a b c (Å): 4.0156 4.0156 9.4086
angles (deg): 77.68 77.68 90.00
Last column: nearest neighbours and their distance in Å.
Atoms (fractional coordinates):
In (0.2500, 0.7500, 0.5000)  4 In 2.84
In (0.7500, 0.2500, 0.5000)  4 In 2.84
Pd (0.0000, 0.0000, 0.0000)  8 Ca 3.28
Ca (0.4080, 0.4080, 0.1840)  4 Pd 3.28, 1 Ca 3.30, 4 In 3.47
Ca (0.5920, 0.5920, 0.8160)  4 Pd 3.28, 1 Ca 3.30, 4 In 3.47

Record 3
VASP calculation (PBE-GGA) on a geometry-optimized CaInPd structure.

## Properties
* calculated volume: 22.6 Å³/atom
* symmetry: I4mm (107)
* crystal system: tetragonal
* energy of formation from the pure elements: -0.58 eV/atom
* N(E_F): 1.2 states/eV/f.u.

a b c (Å): 3.5642 3.5642 5.9019
angles (deg): 107.57 107.57 90.00
Last column: nearest neighbours and their distance in Å.
Atoms (fractional coordinates):
Pd (0.9685, 0.9685, 0.9370)  4 In 2.83, 4 Ca 3.15
In (0.5898, 0.5898, 0.1796)  4 Pd 2.83
Ca (0.2917, 0.2917, 0.5835)  5 Pd 3.15-3.45, 5 In 3.18-3.32